1.
{
  "formula": "Tl2HCl",
  "functional": "PBE",
  "state": "relaxed",
  "lattice": [[0.0000, 3.7022, 3.7022], [3.7022, 0.0000, 3.7022], [3.7022, 3.7022, 0.0000]],
  "species": ["H", "Tl", "Tl", "Cl"],
  "fractional_positions": [[0.0000, 0.0000, 0.0000], [0.2500, 0.2500, 0.2500], [0.7500, 0.7500, 0.7500], [0.5000, 0.5000, 0.5000]],
  "volume_a3_per_cell": 101,
  "de_polymorph_kj_per_mol_atoms": 9.6,
  "crystal_system": "cubic"
}

---

2.
{
  "formula": "Pr2Cu5Au",
  "functional": "PBE",
  "state": "relaxed",
  "lattice": [[4.2344, 0.0000, 0.0000], [-2.1172, 7.8737, 0.0000], [0.0000, 0.0000, 9.0688]],
  "species": ["Pr", "Pr", "Pr", "Pr", "Cu", "Cu", "Cu", "Cu", "Cu", "Cu", "Cu", "Cu", "Cu", "Cu", "Au", "Au"],
  "fractional_positions": [[0.7938, 0.5877, 0.7500], [0.2062, 0.4123, 0.2500], [0.0000, 0.0000, 0.0000], [0.0000, 0.0000, 0.5000], [0.1779, 0.3557, 0.8843], [0.8221, 0.6443, 0.1157], [0.1779, 0.3557, 0.6157], [0.8221, 0.6443, 0.3843], [0.3376, 0.6751, 0.9862], [0.6624, 0.3249, 0.0138], [0.3376, 0.6751, 0.5138], [0.6624, 0.3249, 0.4862], [0.6063, 0.2126, 0.7500], [0.3937, 0.7874, 0.2500], [0.4405, 0.8811, 0.7500], [0.5595, 0.1189, 0.2500]],
  "volume_a3_per_cell": 302,
  "delta_e_f_ev_per_fu": -2.13,
  "crystal_system": "orthorhombic"
}

---

3.
{
  "formula": "NaPmEuPb",
  "functional": "PBE",
  "state": "relaxed",
  "lattice": [[-0.0454, 4.2100, -3.7104], [-4.8371, 1.6372, -2.3271], [-2.2529, 4.9465, 1.3962]],
  "species": ["Pb", "Eu", "Na", "Pm"],
  "fractional_positions": [[0.5000, 0.5000, 0.5000], [0.7500, 0.7500, 0.7500], [0.0000, 0.0000, 0.0000], [0.2500, 0.2500, 0.2500]],
  "volume_a3_per_cell": 125,
  "delta_e_f_ev_per_fu": -0.99,
  "crystal_system": "cubic"
}

---

4.
{
  "formula": "NaSr2ScF",
  "functional": "PBE",
  "state": "relaxed",
  "lattice": [[7.1021, 0.0000, 0.0000], [0.0000, 4.0719, 0.0000], [0.0000, 0.0000, 7.1021]],
  "species": ["Sc", "Sr", "Sr", "F", "Na"],
  "fractional_positions": [[0.0000, 0.0000, 0.0000], [0.0000, 0.0000, 0.5000], [0.5000, 0.0000, 0.0000], [0.0000, 0.5000, 0.0000], [0.5000, 0.5000, 0.5000]],
  "volume_a3_per_cell": 205,
  "raw_formation_energy_kcal_per_mol_atoms": -14.5,
  "crystal_system": "tetragonal"
}

---

| no. | density (Mg/m³) | DOS(E_F) (states/eV per cell) |
| --- | --- | --- |
| 1 | 7.29 | 0.00 |
| 2 | 8.75 | 10.16 |
| 3 | 7.00 | 10.40 |
| 4 | 2.12 | 5.54 |